1.
An optimized crystal structure of La3SnO, computed with PBE.

a b c (Å): 9.5173 9.5173 9.5173
angles (deg): 60.00 60.00 60.00
With the nearest neighbours (Å) after each atom.
Fractional positions:
Sn: 0.1250 0.6250 0.6250  6 La 3.41
La: 0.0563 0.0563 0.4437  2 O 2.55
La: 0.4437 0.0563 0.0563  2 O 2.55
La: 0.8063 0.8063 0.1937  2 O 2.55
Sn: 0.6250 0.1250 0.6250  6 La 3.41
Sn: 0.6250 0.6250 0.1250  6 La 3.41
La: 0.8063 0.1937 0.1937  2 O 2.55
La: 0.8063 0.1937 0.8063  2 O 2.55
La: 0.0563 0.4437 0.4437  2 O 2.55
O: 0.1250 0.1250 0.1250  6 La 2.55
La: 0.0563 0.4437 0.0563  2 O 2.55
La: 0.1937 0.8063 0.8063  2 O 2.55
La: 0.1937 0.8063 0.1937  2 O 2.55
Sn: 0.6250 0.6250 0.6250  6 La 3.41
La: 0.4437 0.0563 0.4437  2 O 2.55
O: 0.6250 0.1250 0.1250  6 La 2.55
O: 0.1250 0.6250 0.1250  6 La 2.55
La: 0.1937 0.1937 0.8063  2 O 2.55
La: 0.4437 0.4437 0.0563  2 O 2.55
O: 0.1250 0.1250 0.6250  6 La 2.55

Computed properties:
Formation energy without anion corrections in eV per formula unit: -5.3
Space-group type: No. 227
Spin magnetization in μB per cell: 0.04

2.
An optimized crystal structure of FeTcIr4, computed with PBE.

a b c (Å): 5.1113 5.1113 5.1113
angles (deg): 60.00 60.00 60.00
With the nearest neighbours (Å) after each atom.
Fractional positions:
Tc: 0.7500 0.7500 0.7500  12 Ir 3.00, 4 Fe 3.13
Ir: 0.3749 0.3749 0.8752  6 Ir 2.55-2.56
Fe: 0.0000 0.0000 0.0000  12 Ir 3.00, 4 Tc 3.13
Ir: 0.8752 0.3749 0.3749  6 Ir 2.55-2.56
Ir: 0.3749 0.8752 0.3749  6 Ir 2.55-2.56
Ir: 0.3749 0.3749 0.3749  6 Ir 2.55-2.56

Computed properties:
Excess energy over the best structure of this formula in the dataset in meV per atom: 566
Space-group type: No. 216
Spin magnetization in μB per cell: 1.91
DFT formation energy in eV per atom: 0.489

3.
An optimized crystal structure of PuPt5, computed with PBE.

a b c (Å): 5.3869 5.3869 4.4324
angles (deg): 90.00 90.00 120.00
With the nearest neighbours (Å) after each atom.
Fractional positions:
Pt: 0.6667 0.3333 0.0000  6 Pt 2.71
Pt: 0.5000 0.5000 0.5000  8 Pt 2.69-2.71
Pt: 0.5000 0.0000 0.5000  8 Pt 2.69-2.71
Pu: 0.0000 0.0000 0.0000  6 Pt 3.11
Pt: 0.3333 0.6667 0.0000  6 Pt 2.71
Pt: 0.0000 0.5000 0.5000  8 Pt 2.69-2.71

Computed properties:
Space-group type: No. 191
Spin magnetization in μB per cell: 4.80
DFT formation energy in eV per atom: -0.525

4.
An optimized crystal structure of Mg2Ga5Pt3, computed with PBE.

a b c (Å): 4.0326 7.1938 12.2078
angles (deg): 90.00 99.51 90.00
With the nearest neighbours (Å) after each atom.
Fractional positions:
Pt: 0.3872 0.0268 0.7744  6 Ga 2.54-2.76, 3 Mg 2.69-2.80
Ga: 0.2921 0.8746 0.5843  4 Pt 2.54-2.57
Ga: 0.7039 0.9743 0.4079  1 Ga 2.55, 3 Pt 2.57-2.63
Ga: 0.0549 0.6491 0.1098  4 Pt 2.55-2.67
Pt: 0.6128 0.5268 0.2256  6 Ga 2.54-2.76, 3 Mg 2.69-2.80
Mg: 0.4765 0.8027 0.9529  3 Pt 2.69-2.91, 2 Ga 2.98
Ga: 0.2961 0.4743 0.5921  1 Ga 2.55, 3 Pt 2.57-2.63
Pt: 0.7663 0.6734 0.5326  7 Ga 2.56-2.75
Ga: 0.4000 0.4042 0.7999  1 Ga 2.55, 3 Pt 2.57-2.73
Ga: 0.1232 0.2676 0.2463  4 Pt 2.62-2.76
Pt: 0.0436 0.0184 0.0872  5 Ga 2.55-2.67
Mg: 0.1809 0.6736 0.3618  4 Pt 2.80-2.88, 7 Ga 3.01-3.12
Pt: 0.2337 0.1734 0.4674  7 Ga 2.56-2.75
Ga: 0.6000 0.9042 0.2001  1 Ga 2.55, 3 Pt 2.57-2.73
Ga: 0.7079 0.3746 0.4157  4 Pt 2.54-2.57
Mg: 0.5235 0.3027 0.0471  3 Pt 2.69-2.91, 2 Ga 2.98
Mg: 0.8191 0.1736 0.6382  4 Pt 2.80-2.88, 7 Ga 3.01-3.12
Ga: 0.8768 0.7676 0.7537  4 Pt 2.62-2.76
Pt: 0.9564 0.5184 0.9128  5 Ga 2.55-2.67
Ga: 0.9451 0.1491 0.8902  4 Pt 2.55-2.67

Computed properties:
Space-group type: No. 36
Spin magnetization in μB per cell: 0.00
DFT formation energy in eV per atom: -0.587

5.
An optimized crystal structure of TmLuGePd, computed with PBE.

a b c (Å): 4.9276 4.9276 4.9276
angles (deg): 60.00 60.00 60.00
With the nearest neighbours (Å) after each atom.
Fractional positions:
Pd: 0.7500 0.7500 0.7500  4 Tm 3.02, 4 Lu 3.02
Lu: 0.0000 0.0000 0.0000  4 Ge 3.02, 4 Pd 3.02
Ge: 0.2500 0.2500 0.2500  4 Tm 3.02, 4 Lu 3.02
Tm: 0.5000 0.5000 0.5000  4 Ge 3.02, 4 Pd 3.02

Computed properties:
Space-group type: No. 216
Spin magnetization in μB per cell: 0.00
DFT formation energy in eV per atom: -0.829

6.
An optimized crystal structure of AgW2Br, computed with PBE.

a b c (Å): 6.2669 6.2669 6.2669
angles (deg): 151.49 134.69 54.40
With the nearest neighbours (Å) after each atom.
Fractional positions:
W: 0.9874 0.9874 0.0000  2 W 2.42
Br: 0.2109 0.7109 0.5000  6 W 2.93-3.11, 2 Br 3.09
Ag: 0.4812 0.4812 0.0000  6 W 2.87-3.01, 2 Ag 3.09
W: 0.8205 0.3205 0.5000  2 W 2.42

Computed properties:
Formation energy without anion corrections in eV per formula unit: 3.8
Excess energy over the best structure of this formula in the dataset in meV per atom: 455
Space-group type: No. 44
Spin magnetization in μB per cell: 0.00

7.
An optimized crystal structure of CaPdW, computed with PBE.

a b c (Å): 5.2735 5.2735 9.5712
angles (deg): 90.00 90.00 120.00
With the nearest neighbours (Å) after each atom.
Fractional positions:
Pd: 0.0000 0.0000 0.0000  2 W 2.39
W: 0.0000 0.0000 0.7500  2 Pd 2.39
Ca: 0.3333 0.6667 0.2500  3 W 3.04
Ca: 0.6667 0.3333 0.7500  3 W 3.04
W: 0.0000 0.0000 0.2500  2 Pd 2.39
Pd: 0.0000 0.0000 0.5000  2 W 2.39

Computed properties:
Excess energy over the best structure of this formula in the dataset in meV per atom: 1947
Space-group type: No. 194
Spin magnetization in μB per cell: 6.57
DFT formation energy in eV per atom: 1.931

8.
An optimized crystal structure of K2TaMn, computed with PBE.

a b c (Å): 6.8308 6.8308 6.8308
angles (deg): 145.56 145.56 49.50
With the nearest neighbours (Å) after each atom.
Fractional positions:
Mn: 0.2500 0.7500 0.5000  4 Ta 2.86
Ta: 0.7500 0.2500 0.5000  4 Mn 2.86
K: 0.5000 0.5000 0.0000  4 K 2.86
K: 0.0000 0.0000 0.0000  4 K 2.86

Computed properties:
Excess energy over the best structure of this formula in the dataset in meV per atom: 654
Space-group type: No. 139
Spin magnetization in μB per cell: 1.32
DFT formation energy in eV per atom: 1.389